{"formula": "CuP2Au", "functional": "GGA-PBE", "state": "optimized geometry", "e_tot_ev_per_atom": -4.00, "n_ef_per_ev_fu": 2.09, "space_group": "F-43m, No. 216", "crystal_system": "cubic", "polymorph_energy_mev_per_atom": 564, "formation_energy_ev_per_atom": 0.55, "cell": [[6.300, 0.000, 0.000], [0.000, 6.300, 0.000], [0.000, 0.000, 6.300]], "species": ["Cu", "Cu", "Cu", "Cu", "P", "P", "P", "P", "P", "P", "P", "P", "Au", "Au", "Au", "Au"], "fractional_positions": [[0.000, 0.000, 0.000], [0.000, 0.500, 0.500], [0.500, 0.000, 0.500], [0.500, 0.500, 0.000], [0.000, 0.000, 0.500], [0.000, 0.500, 0.000], [0.250, 0.250, 0.750], [0.250, 0.750, 0.250], [0.500, 0.000, 0.000], [0.500, 0.500, 0.500], [0.750, 0.250, 0.250], [0.750, 0.750, 0.750], [0.250, 0.250, 0.250], [0.250, 0.750, 0.750], [0.750, 0.250, 0.750], [0.750, 0.750, 0.250]]}